[1]
# Rb3Hg4Bi2 (GGA-PBE, relaxed)
# formation energy: -311 meV/atom
# distance to the lowest polymorph of the same formula: 0 meV per atom
# calculated total energy: -29.343 eV per cell
data_Rb3Hg4Bi2
_cell_length_a 13.586
_cell_length_b 5.161
_cell_length_c 10.544
_cell_angle_alpha 90.00
_cell_angle_beta 101.11
_cell_angle_gamma 90.00
_symmetry_space_group_name_H-M 'C 1 2/m 1'
_symmetry_Int_Tables_number 12
_symmetry_space_group_name_Hall '-C 2y'
loop_
_atom_site_label
_atom_site_type_symbol
_atom_site_fract_x
_atom_site_fract_y
_atom_site_fract_z
Rb1 Rb 0.000 0.000 0.000
Rb2 Rb 0.170 0.500 0.657
Hg1 Hg 0.051 0.000 0.387
Hg2 Hg 0.220 0.500 0.054
Bi1 Bi 0.104 0.500 0.273

---

[2]
# Rb4Hg2Bi (GGA-PBE, relaxed)
# formation energy: -160 meV/atom
# calculated total energy: -18.956 eV per cell
data_Rb4Hg2Bi
_cell_length_a 7.219
_cell_length_b 7.219
_cell_length_c 17.653
_cell_angle_alpha 90.00
_cell_angle_beta 90.00
_cell_angle_gamma 90.00
_symmetry_space_group_name_H-M 'I 4/m m m'
_symmetry_Int_Tables_number 139
_symmetry_space_group_name_Hall '-I 4 2'
loop_
_atom_site_label
_atom_site_type_symbol
_atom_site_fract_x
_atom_site_fract_y
_atom_site_fract_z
Rb1 Rb 0.000 0.000 0.200
Rb2 Rb 0.000 0.500 0.000
Hg1 Hg 0.000 0.000 0.412
Bi1 Bi 0.000 0.000 0.000

---

[3]
# RbHg4Bi4 (GGA-PBE, relaxed)
# formation energy: -1 meV/atom
# calculated total energy: -35.413 eV per cell
data_RbHg4Bi4
_cell_length_a 10.923
_cell_length_b 10.923
_cell_length_c 5.100
_cell_angle_alpha 90.00
_cell_angle_beta 90.00
_cell_angle_gamma 90.00
_symmetry_space_group_name_H-M 'I 4/m'
_symmetry_Int_Tables_number 87
_symmetry_space_group_name_Hall '-I 4'
loop_
_atom_site_label
_atom_site_type_symbol
_atom_site_fract_x
_atom_site_fract_y
_atom_site_fract_z
Rb1 Rb 0.000 0.000 0.000
Hg1 Hg 0.175 0.176 0.500
Bi1 Bi 0.000 0.358 0.000

---

[4]
# Rb3Hg9Bi2 (GGA-PBE, relaxed)
# formation energy: -181 meV/atom
# calculated total energy: -31.823 eV per cell
data_Rb3Hg9Bi2
_cell_length_a 5.231
_cell_length_b 11.817
_cell_length_c 15.272
_cell_angle_alpha 90.00
_cell_angle_beta 90.00
_cell_angle_gamma 90.00
_symmetry_space_group_name_H-M 'I m m m'
_symmetry_Int_Tables_number 71
_symmetry_space_group_name_Hall '-I 2 2'
loop_
_atom_site_label
_atom_site_type_symbol
_atom_site_fract_x
_atom_site_fract_y
_atom_site_fract_z
Rb1 Rb 0.000 0.000 0.000
Rb2 Rb 0.000 0.000 0.323
Hg1 Hg 0.000 0.275 0.128
Hg2 Hg 0.000 0.368 0.317
Hg3 Hg 0.000 0.500 0.000
Bi1 Bi 0.000 0.242 0.500

---

[5]
# Rb2HgBi (GGA-PBE, relaxed)
# formation energy: 25 meV/atom
# distance to the lowest polymorph of the same formula: 281 meV per atom
# calculated total energy: -24.073 eV per cell
data_Rb2HgBi
_cell_length_a 5.518
_cell_length_b 5.518
_cell_length_c 24.097
_cell_angle_alpha 90.00
_cell_angle_beta 90.00
_cell_angle_gamma 90.00
_symmetry_space_group_name_H-M 'I -4 2 d'
_symmetry_Int_Tables_number 122
_symmetry_space_group_name_Hall 'I -4 2bw'
loop_
_atom_site_label
_atom_site_type_symbol
_atom_site_fract_x
_atom_site_fract_y
_atom_site_fract_z
Rb1 Rb 0.236 0.250 0.125
Hg1 Hg 0.000 0.000 0.000
Bi1 Bi 0.000 0.000 0.500

---

[6]
# RbHgBi3 (GGA-PBE, relaxed)
# formation energy: -125 meV/atom
# distance to the lowest polymorph of the same formula: 28 meV per atom
# calculated total energy: -27.074 eV per cell
data_RbHgBi3
_cell_length_a 7.061
_cell_length_b 7.518
_cell_length_c 7.082
_cell_angle_alpha 90.00
_cell_angle_beta 90.00
_cell_angle_gamma 90.00
_symmetry_space_group_name_H-M 'P m n 21'
_symmetry_Int_Tables_number 31
_symmetry_space_group_name_Hall 'P 2ac -2'
loop_
_atom_site_label
_atom_site_type_symbol
_atom_site_fract_x
_atom_site_fract_y
_atom_site_fract_z
Rb1 Rb 0.000 0.234 0.000
Hg1 Hg 0.000 0.928 0.603
Bi1 Bi 0.000 0.598 0.352
Bi2 Bi 0.228 0.751 0.003

---

[7]
# Rb8HgBi2 (GGA-PBE, relaxed)
# formation energy: -235 meV/atom
# distance to the lowest polymorph of the same formula: 8 meV per atom
# calculated total energy: -36.769 eV per cell
data_Rb8HgBi2
_cell_length_a 6.274
_cell_length_b 10.307
_cell_length_c 18.012
_cell_angle_alpha 90.00
_cell_angle_beta 90.00
_cell_angle_gamma 90.00
_symmetry_space_group_name_H-M 'I m m m'
_symmetry_Int_Tables_number 71
_symmetry_space_group_name_Hall '-I 2 2'
loop_
_atom_site_label
_atom_site_type_symbol
_atom_site_fract_x
_atom_site_fract_y
_atom_site_fract_z
Rb1 Rb 0.000 0.000 0.159
Rb2 Rb 0.000 0.217 0.340
Rb3 Rb 0.000 0.315 0.000
Hg1 Hg 0.000 0.500 0.500
Bi1 Bi 0.000 0.500 0.192

---

[8]
# Rb2Hg3Bi (GGA-PBE, relaxed)
# formation energy: -271 meV/atom
# calculated total energy: -8.345 eV per cell
data_Rb2Hg3Bi
_cell_length_a 5.134
_cell_length_b 5.347
_cell_length_c 9.045
_cell_angle_alpha 90.00
_cell_angle_beta 90.00
_cell_angle_gamma 90.00
_symmetry_space_group_name_H-M 'P m m 2'
_symmetry_Int_Tables_number 25
_symmetry_space_group_name_Hall 'P 2 -2'
loop_
_atom_site_label
_atom_site_type_symbol
_atom_site_fract_x
_atom_site_fract_y
_atom_site_fract_z
Rb1 Rb 0.000 0.000 0.000
Rb2 Rb 0.500 0.000 0.478
Hg1 Hg 0.000 0.500 0.320
Hg2 Hg 0.000 0.500 0.652
Hg3 Hg 0.500 0.500 0.826
Bi1 Bi 0.500 0.500 0.156

---

[9]
# Rb2Hg2Bi (GGA-PBE, relaxed)
# formation energy: -298 meV/atom
# distance to the lowest polymorph of the same formula: 0 meV per atom
# calculated total energy: -31.646 eV per cell
data_Rb2Hg2Bi
_cell_length_a 13.529
_cell_length_b 5.119
_cell_length_c 13.948
_cell_angle_alpha 90.00
_cell_angle_beta 114.44
_cell_angle_gamma 90.00
_symmetry_space_group_name_H-M 'C 1 2/m 1'
_symmetry_Int_Tables_number 12
_symmetry_space_group_name_Hall '-C 2y'
loop_
_atom_site_label
_atom_site_type_symbol
_atom_site_fract_x
_atom_site_fract_y
_atom_site_fract_z
Rb1 Rb 0.106 0.000 0.396
Rb2 Rb 0.199 0.500 0.123
Hg1 Hg 0.028 0.000 0.909
Hg2 Hg 0.115 0.500 0.610
Bi1 Bi 0.057 0.500 0.809

---

[10]
# Rb2Hg5Bi (GGA-PBE, relaxed)
# formation energy: -219 meV/atom
# calculated total energy: -36.296 eV per cell
data_Rb2Hg5Bi
_cell_length_a 5.661
_cell_length_b 19.143
_cell_length_c 10.645
_cell_angle_alpha 90.00
_cell_angle_beta 90.00
_cell_angle_gamma 90.00
_symmetry_space_group_name_H-M 'C m c m'
_symmetry_Int_Tables_number 63
_symmetry_space_group_name_Hall '-C 2c 2'
loop_
_atom_site_label
_atom_site_type_symbol
_atom_site_fract_x
_atom_site_fract_y
_atom_site_fract_z
Rb1 Rb 0.000 0.000 0.000
Rb2 Rb 0.000 0.207 0.250
Hg1 Hg 0.000 0.191 0.601
Hg2 Hg 0.000 0.352 0.505
Hg3 Hg 0.000 0.412 0.250
Bi1 Bi 0.000 0.431 0.750

---

[11]
# Rb5Hg12Bi3 (GGA-PBE, relaxed)
# formation energy: -30 meV/atom
# calculated total energy: -165.663 eV per cell
data_Rb5Hg12Bi3
_cell_length_a 19.553
_cell_length_b 19.553
_cell_length_c 19.553
_cell_angle_alpha 90.00
_cell_angle_beta 90.00
_cell_angle_gamma 90.00
_symmetry_space_group_name_H-M 'I a -3 d'
_symmetry_Int_Tables_number 230
_symmetry_space_group_name_Hall '-I 4bd 2c 3'
loop_
_atom_site_label
_atom_site_type_symbol
_atom_site_fract_x
_atom_site_fract_y
_atom_site_fract_z
Rb1 Rb 0.000 0.000 0.000
Rb2 Rb 0.000 0.250 0.375
Hg1 Hg 0.000 0.088 0.152
Bi1 Bi 0.000 0.250 0.125

---

[12]
# Rb2Hg2Bi (GGA-PBE, relaxed)
# formation energy: -250 meV/atom
# distance to the lowest polymorph of the same formula: 49 meV per atom
# calculated total energy: -15.337 eV per cell
data_Rb2Hg2Bi
_cell_length_a 8.342
_cell_length_b 8.342
_cell_length_c 5.616
_cell_angle_alpha 90.00
_cell_angle_beta 90.00
_cell_angle_gamma 90.00
_symmetry_space_group_name_H-M 'P 4/m b m'
_symmetry_Int_Tables_number 127
_symmetry_space_group_name_Hall '-P 4 2ab'
loop_
_atom_site_label
_atom_site_type_symbol
_atom_site_fract_x
_atom_site_fract_y
_atom_site_fract_z
Rb1 Rb 0.180 0.320 0.000
Hg1 Hg 0.131 0.631 0.500
Bi1 Bi 0.000 0.000 0.500

---

Question: Look up the calculated total energy of the eighth one.
Answer: -8.345 eV per cell